Density functional theory data (PBE-GGA) for a relaxed structure of Sr2Mg3Zn4.

a = 6.341 Å, b = 7.832 Å, c = 9.327 Å
α = 90.00°, β = 109.87°, γ = 90.00°
Fractional coordinates of all 18 atoms:
Sr 0.101 0.598 0.203
Sr 0.899 0.402 0.797
Sr 0.399 0.098 0.797
Sr 0.601 0.902 0.203
Mg 0.000 0.000 0.000
Mg 0.500 0.500 0.000
Mg 0.516 0.750 0.532
Mg 0.984 0.250 0.468
Mg 0.484 0.250 0.468
Mg 0.016 0.750 0.532
Zn 0.679 0.750 0.859
Zn 0.821 0.250 0.141
Zn 0.321 0.250 0.141
Zn 0.179 0.750 0.859
Zn 0.162 0.000 0.325
Zn 0.838 0.000 0.675
Zn 0.338 0.500 0.675
Zn 0.662 0.500 0.325

Calculated values
* crystal system: orthorhombic
* density: 3.9 g/cm³
* M_tot: 0.00 μB/f.u.
* E_form: -0.130 eV per atom
* D(E_F): 8.73 states/eV/cell